(1)
VASP calculation (PBE) on crystalline AlMo2Ir at its relaxed geometry.

```
data_AlMo2Ir
_symmetry_space_group_name_H-M 'I 4/m m m'
_symmetry_Int_Tables_number 139
_symmetry_space_group_name_Hall '-I 4 2'
_cell_length_a 3.7131
_cell_length_b 3.7131
_cell_length_c 8.7195
_cell_angle_alpha 90.00
_cell_angle_beta 90.00
_cell_angle_gamma 90.00
loop_
_atom_site_label
_atom_site_fract_x
_atom_site_fract_y
_atom_site_fract_z
Al1 0.0000 0.0000 0.0000
Mo1 0.0000 0.5000 0.2500
Ir1 0.0000 0.0000 0.5000
```

(2)
VASP calculation (PBE) on crystalline AlMo2Ir at its relaxed geometry.

```
data_AlMo2Ir
_symmetry_space_group_name_H-M 'I -4 2 d'
_symmetry_Int_Tables_number 122
_symmetry_space_group_name_Hall 'I -4 2bw'
_cell_length_a 7.1836
_cell_length_b 7.1836
_cell_length_c 5.2028
_cell_angle_alpha 90.00
_cell_angle_beta 90.00
_cell_angle_gamma 90.00
loop_
_atom_site_label
_atom_site_fract_x
_atom_site_fract_y
_atom_site_fract_z
Al1 0.0000 0.0000 0.0000
Mo1 0.2327 0.7500 0.6250
Ir1 0.0000 0.0000 0.5000
```

(3)
VASP calculation (PBE) on crystalline Al2MoIr at its relaxed geometry.

```
data_Al2MoIr
_symmetry_space_group_name_H-M 'F -4 3 m'
_symmetry_Int_Tables_number 216
_symmetry_space_group_name_Hall 'F -4 2 3'
_cell_length_a 6.2162
_cell_length_b 6.2162
_cell_length_c 6.2162
_cell_angle_alpha 90.00
_cell_angle_beta 90.00
_cell_angle_gamma 90.00
loop_
_atom_site_label
_atom_site_fract_x
_atom_site_fract_y
_atom_site_fract_z
Al1 0.0000 0.0000 0.0000
Al2 0.2500 0.2500 0.2500
Mo1 0.2500 0.2500 0.7500
Ir1 0.0000 0.0000 0.5000
```

(4)
VASP calculation (PBE) on crystalline AlMoIr at its relaxed geometry.

```
data_AlMoIr
_symmetry_space_group_name_H-M 'P 3 m 1'
_symmetry_Int_Tables_number 156
_cell_length_a 2.8067
_cell_length_b 2.8067
_cell_length_c 6.6046
_cell_angle_alpha 90.00
_cell_angle_beta 90.00
_cell_angle_gamma 120.00
loop_
_symmetry_equiv_pos_as_xyz
'x,y,z'
'-y,x-y,z'
'-x+y,-x,z'
'-y,-x,z'
'-x+y,y,z'
'x,x-y,z'
loop_
_atom_site_label
_atom_site_fract_x
_atom_site_fract_y
_atom_site_fract_z
Al1 0.0000 0.0000 0.0000
Mo1 0.3333 0.6667 0.6568
Ir1 0.6667 0.3333 0.3252
```

(5)
VASP calculation (PBE) on crystalline AlMo4Ir at its relaxed geometry.

```
data_AlMo4Ir
_symmetry_space_group_name_H-M 'F -4 3 m'
_symmetry_Int_Tables_number 216
_symmetry_space_group_name_Hall 'F -4 2 3'
_cell_length_a 7.3095
_cell_length_b 7.3095
_cell_length_c 7.3095
_cell_angle_alpha 90.00
_cell_angle_beta 90.00
_cell_angle_gamma 90.00
loop_
_atom_site_label
_atom_site_fract_x
_atom_site_fract_y
_atom_site_fract_z
Al1 0.0000 0.0000 0.0000
Mo1 0.1264 0.1264 0.3736
Ir1 0.2500 0.2500 0.7500
```

(6)
VASP calculation (PBE) on crystalline AlMo2Ir at its relaxed geometry.

```
data_AlMo2Ir
_symmetry_space_group_name_H-M 'F -4 3 m'
_symmetry_Int_Tables_number 216
_symmetry_space_group_name_Hall 'F -4 2 3'
_cell_length_a 6.2234
_cell_length_b 6.2234
_cell_length_c 6.2234
_cell_angle_alpha 90.00
_cell_angle_beta 90.00
_cell_angle_gamma 90.00
loop_
_atom_site_label
_atom_site_fract_x
_atom_site_fract_y
_atom_site_fract_z
Al1 0.0000 0.0000 0.0000
Mo1 0.0000 0.0000 0.5000
Mo2 0.2500 0.2500 0.2500
Ir1 0.2500 0.2500 0.7500
```

(7)
VASP calculation (PBE) on crystalline Al2MoIr at its relaxed geometry.

```
data_Al2MoIr
_symmetry_space_group_name_H-M 'I m m m'
_symmetry_Int_Tables_number 71
_symmetry_space_group_name_Hall '-I 2 2'
_cell_length_a 2.8425
_cell_length_b 4.8641
_cell_length_c 8.7793
_cell_angle_alpha 90.00
_cell_angle_beta 90.00
_cell_angle_gamma 90.00
loop_
_atom_site_label
_atom_site_fract_x
_atom_site_fract_y
_atom_site_fract_z
Al1 0.0000 0.0000 0.2382
Mo1 0.0000 0.5000 0.0000
Ir1 0.0000 0.5000 0.5000
```

(8)
VASP calculation (PBE) on crystalline AlMoIr3 at its relaxed geometry.

```
data_AlMoIr3
_symmetry_space_group_name_H-M 'P m -3 m'
_symmetry_Int_Tables_number 221
_symmetry_space_group_name_Hall '-P 4 2 3'
_cell_length_a 4.4145
_cell_length_b 4.4145
_cell_length_c 4.4145
_cell_angle_alpha 90.00
_cell_angle_beta 90.00
_cell_angle_gamma 90.00
loop_
_atom_site_label
_atom_site_fract_x
_atom_site_fract_y
_atom_site_fract_z
Al1 0.0000 0.0000 0.0000
Mo1 0.5000 0.5000 0.5000
Ir1 0.0000 0.0000 0.5000
```

(9)
VASP calculation (PBE) on crystalline Al2MoIr at its relaxed geometry.

```
data_Al2MoIr
_symmetry_space_group_name_H-M 'P m m m'
_symmetry_Int_Tables_number 47
_cell_length_a 2.9046
_cell_length_b 4.2840
_cell_length_c 4.8390
_cell_angle_alpha 90.00
_cell_angle_beta 90.00
_cell_angle_gamma 90.00
loop_
_symmetry_equiv_pos_as_xyz
'x,y,z'
'-x,-y,-z'
'-x,-y,z'
'x,y,-z'
'x,-y,-z'
'-x,y,z'
'-x,y,-z'
'x,-y,z'
loop_
_atom_site_label
_atom_site_fract_x
_atom_site_fract_y
_atom_site_fract_z
Al1 0.0000 0.0000 0.0000
Al2 0.5000 0.0000 0.5000
Mo1 0.0000 0.5000 0.5000
Ir1 0.5000 0.5000 0.0000
```

(10)
VASP calculation (PBE) on crystalline Al2MoIr at its relaxed geometry.

```
data_Al2MoIr
_symmetry_space_group_name_H-M 'P 4 m m'
_symmetry_Int_Tables_number 99
_cell_length_a 3.1689
_cell_length_b 3.1689
_cell_length_c 5.8993
_cell_angle_alpha 90.00
_cell_angle_beta 90.00
_cell_angle_gamma 90.00
loop_
_symmetry_equiv_pos_as_xyz
'x,y,z'
'-y,x,z'
'-x,-y,z'
'y,-x,z'
'-x,y,z'
'y,x,z'
'x,-y,z'
'-y,-x,z'
loop_
_atom_site_label
_atom_site_fract_x
_atom_site_fract_y
_atom_site_fract_z
Al1 0.0000 0.0000 0.0000
Al2 0.5000 0.5000 0.2572
Mo1 0.5000 0.5000 0.7586
Ir1 0.0000 0.0000 0.4754
```

(11)
VASP calculation (PBE) on crystalline Al6MoIr at its relaxed geometry.

```
data_Al6MoIr
_symmetry_space_group_name_H-M 'C 1 2/m 1'
_symmetry_Int_Tables_number 12
_cell_length_a 7.0862
_cell_length_b 5.4480
_cell_length_c 7.2355
_cell_angle_alpha 90.00
_cell_angle_beta 104.05
_cell_angle_gamma 90.00
loop_
_symmetry_equiv_pos_as_xyz
'x,y,z'
'-x,-y,-z'
'-x,y,-z'
'x,-y,z'
'x+1/2,y+1/2,z'
'-x+1/2,-y+1/2,-z'
'-x+1/2,y+1/2,-z'
'x+1/2,-y+1/2,z'
loop_
_atom_site_label
_atom_site_fract_x
_atom_site_fract_y
_atom_site_fract_z
Al1 0.1291 0.0000 0.4143
Al2 0.1863 0.2546 0.8085
Mo1 0.0000 0.5000 0.5000
Ir1 0.0000 0.0000 0.0000
```

(12)
VASP calculation (PBE) on crystalline AlMo2Ir at its relaxed geometry.

```
data_AlMo2Ir
_symmetry_space_group_name_H-M 'C 1 m 1'
_symmetry_Int_Tables_number 8
_cell_length_a 9.0599
_cell_length_b 2.7574
_cell_length_c 4.9360
_cell_angle_alpha 90.00
_cell_angle_beta 97.19
_cell_angle_gamma 90.00
loop_
_symmetry_equiv_pos_as_xyz
'x,y,z'
'x,-y,z'
'x+1/2,y+1/2,z'
'x+1/2,-y+1/2,z'
loop_
_atom_site_label
_atom_site_fract_x
_atom_site_fract_y
_atom_site_fract_z
Al1 0.0000 0.0000 0.0000
Mo1 0.0197 0.5000 0.5061
Mo2 0.2573 0.5000 0.2714
Ir1 0.2547 0.0000 0.7899
```

(13)
VASP calculation (PBE) on crystalline Al2MoIr at its relaxed geometry.

```
data_Al2MoIr
_symmetry_space_group_name_H-M 'C 1 2/m 1'
_symmetry_Int_Tables_number 12
_cell_length_a 5.6316
_cell_length_b 8.3210
_cell_length_c 2.7769
_cell_angle_alpha 90.00
_cell_angle_beta 113.45
_cell_angle_gamma 90.00
loop_
_symmetry_equiv_pos_as_xyz
'x,y,z'
'-x,-y,-z'
'-x,y,-z'
'x,-y,z'
'x+1/2,y+1/2,z'
'-x+1/2,-y+1/2,-z'
'-x+1/2,y+1/2,-z'
'x+1/2,-y+1/2,z'
loop_
_atom_site_label
_atom_site_fract_x
_atom_site_fract_y
_atom_site_fract_z
Al1 0.2500 0.2500 0.0000
Mo1 0.0000 0.0000 0.5000
Ir1 0.0000 0.5000 0.5000
```

(14)
VASP calculation (PBE) on crystalline AlMo2Ir at its relaxed geometry.

```
data_AlMo2Ir
_symmetry_space_group_name_H-M 'P 1 m 1'
_symmetry_Int_Tables_number 6
_cell_length_a 2.7778
_cell_length_b 4.3829
_cell_length_c 5.0029
_cell_angle_alpha 90.00
_cell_angle_beta 95.41
_cell_angle_gamma 90.00
loop_
_symmetry_equiv_pos_as_xyz
'x,y,z'
'x,-y,z'
loop_
_atom_site_label
_atom_site_fract_x
_atom_site_fract_y
_atom_site_fract_z
Al1 0.0000 0.0000 0.0000
Mo1 0.3971 0.5000 0.7761
Mo2 0.5643 0.0000 0.5058
Ir1 0.9595 0.5000 0.2598
```

(15)
VASP calculation (PBE) on crystalline Al2MoIr at its relaxed geometry.

```
data_Al2MoIr
_symmetry_space_group_name_H-M 'P 4 m m'
_symmetry_Int_Tables_number 99
_cell_length_a 2.8030
_cell_length_b 2.8030
_cell_length_c 7.8811
_cell_angle_alpha 90.00
_cell_angle_beta 90.00
_cell_angle_gamma 90.00
loop_
_symmetry_equiv_pos_as_xyz
'x,y,z'
'-y,x,z'
'-x,-y,z'
'y,-x,z'
'-x,y,z'
'y,x,z'
'x,-y,z'
'-y,-x,z'
loop_
_atom_site_label
_atom_site_fract_x
_atom_site_fract_y
_atom_site_fract_z
Al1 0.0000 0.0000 0.0000
Al2 0.5000 0.5000 0.2930
Mo1 0.5000 0.5000 0.7514
Ir1 0.0000 0.0000 0.5125
```

no.,formation energy from the elements (eV/atom)
1,-0.33
2,0.39
3,-0.15
4,-0.24
5,0.26
6,-0.24
7,-0.28
8,1.09
9,-0.26
10,-0.34
11,-0.13
12,-0.17
13,-0.32
14,-0.26
15,-0.29